Entry 1:
## CsAcAuO3 (PBE-GGA)

Data for a relaxed CsAcAuO3 crystal.

## Properties
raw total energy = -5.43 eV/atom
total magnetization = 2.05 μB per cell

Cell: 8.348 3.953 9.057 Å, 90.00 94.78 90.00°
Fractional positions:
1 Cs 0.137 0.250 0.194
2 Cs 0.863 0.750 0.806
3 Ac 0.380 0.750 0.848
4 Ac 0.620 0.250 0.152
5 Au 0.159 0.250 0.603
6 Au 0.841 0.750 0.397
7 O 0.178 0.250 0.859
8 O 0.208 0.750 0.579
9 O 0.435 0.750 0.115
10 O 0.565 0.250 0.885
11 O 0.792 0.250 0.421
12 O 0.822 0.750 0.141

Entry 2:
## CaCu2Si2 (PBE-GGA)

Data for a relaxed CaCu2Si2 crystal.

## Properties
raw total energy = -4.22 eV/atom
total magnetization = 0.00 μB per cell

Cell: 7.525 7.525 2.750 Å, 90.00 90.00 90.00°
Fractional positions:
1 Ca 0.000 0.000 0.000
2 Ca 0.500 0.500 0.000
3 Cu 0.124 0.376 0.000
4 Cu 0.376 0.876 0.000
5 Cu 0.624 0.124 0.000
6 Cu 0.876 0.624 0.000
7 Si 0.165 0.665 0.500
8 Si 0.335 0.165 0.500
9 Si 0.665 0.835 0.500
10 Si 0.835 0.335 0.500

- Which value of total magnetization does entry 2 give?
  0.00 μB per cell

- Look up the raw total energy of the second one.
  -4.22 eV/atom

- What is the raw total energy in the second record?
  -4.22 eV/atom